Entry 1:
Entry from Alexandria: a relaxed CaMn2Tl crystal (GGA-PBE).

Calculated values
- formation energy (meV/atom) = 643
- space group = I-42d (122)

Cell lengths 8.063, 8.063, 6.453 Å; angles 51.33, 51.33, 90.00 degrees
Site moments in Bohr magnetons follow the coordinates.
Positions (direct):
Tl 0.000 0.000 0.000  -0.09
Tl 0.750 0.250 0.500  -0.09
Mn 0.659 0.125 0.250  3.85
Mn 0.091 0.625 0.250  3.88
Mn 0.375 0.341 0.750  3.83
Mn 0.875 0.909 0.750  3.86
Ca 0.500 0.500 0.000  -0.05
Ca 0.250 0.750 0.500  -0.05

***

Entry 2:
Entry from Alexandria: a relaxed CaMnTl2 crystal (GGA-PBE).

Calculated values
- formation energy (meV/atom) = 96
- space group = P4/mmm (123)

Cell lengths 8.060, 4.796, 4.354 Å; angles 90.00, 57.31, 126.53 degrees
Site moments in Bohr magnetons follow the coordinates.
Positions (direct):
Tl 0.000 0.000 0.000  -0.03
Tl 0.500 0.000 0.500  -0.03
Mn 0.500 0.500 0.000  4.03
Ca 0.000 0.500 0.500  -0.01

***

Entry 3:
Entry from Alexandria: a relaxed Ca2MnTl crystal (GGA-PBE).

Calculated values
- formation energy (meV/atom) = 366
- space group = I-42d (122)

Cell lengths 8.462, 8.462, 6.855 Å; angles 51.89, 51.89, 90.00 degrees
Site moments in Bohr magnetons follow the coordinates.
Positions (direct):
Tl 0.000 0.000 0.000  -0.02
Tl 0.750 0.250 0.500  -0.02
Mn 0.500 0.500 0.000  3.98
Mn 0.250 0.750 0.500  3.98
Ca 0.617 0.125 0.250  -0.04
Ca 0.133 0.625 0.250  -0.04
Ca 0.375 0.383 0.750  -0.04
Ca 0.875 0.867 0.750  -0.04

***

Entry 4:
Entry from Alexandria: a relaxed CaMnTl2 crystal (GGA-PBE).

Calculated values
- formation energy (meV/atom) = 148
- space group = I-4m2 (119)

Cell lengths 5.923, 5.923, 5.923 Å; angles 134.93, 134.93, 65.64 degrees
Site moments in Bohr magnetons follow the coordinates.
Positions (direct):
Tl 0.000 0.000 0.000  -0.02
Tl 0.250 0.750 0.500  -0.04
Mn 0.750 0.250 0.500  4.01
Ca 0.500 0.500 0.000  -0.03

***

Entry 5:
Entry from Alexandria: a relaxed Ca2MnTl crystal (GGA-PBE).

Calculated values
- formation energy (meV/atom) = 55
- space group = P4/mmm (123)

Cell lengths 5.260, 5.260, 3.981 Å; angles 90.00, 90.00, 90.00 degrees
Site moments in Bohr magnetons follow the coordinates.
Positions (direct):
Tl 0.000 0.500 0.500  -0.01
Mn 0.500 0.000 0.500  4.10
Ca 0.000 0.000 0.000  -0.01
Ca 0.500 0.500 0.000  -0.01

***

Entry 6:
Entry from Alexandria: a relaxed CaMnTl2 crystal (GGA-PBE).

Calculated values
- formation energy (meV/atom) = 45
- space group = P2/m (10)

Cell lengths 3.579, 3.575, 8.417 Å; angles 64.95, 90.00, 90.00 degrees
Site moments in Bohr magnetons follow the coordinates.
Positions (direct):
Tl 0.000 0.033 0.966  -0.03
Tl 0.000 0.467 0.534  -0.03
Mn 0.500 0.750 0.750  3.84
Ca 0.500 0.250 0.250  -0.02

***

Entry 7:
Entry from Alexandria: a relaxed CaMnTl2 crystal (GGA-PBE).

Calculated values
- formation energy (meV/atom) = 155
- space group = R-3m (166)

Cell lengths 9.549, 9.549, 9.549 Å; angles 21.78, 21.78, 21.78 degrees
Site moments in Bohr magnetons follow the coordinates.
Positions (direct):
Tl 0.008 0.008 0.008  -0.01
Tl 0.492 0.492 0.492  -0.01
Mn 0.750 0.750 0.750  3.99
Ca 0.250 0.250 0.250  -0.02

***

Entry 8:
Entry from Alexandria: a relaxed CaMn3Tl crystal (GGA-PBE).

Calculated values
- formation energy (meV/atom) = 1602
- space group = Pm-3m (221)

Cell lengths 5.192, 5.192, 5.192 Å; angles 90.00, 90.00, 90.00 degrees
Site moments in Bohr magnetons follow the coordinates.
Positions (direct):
Tl 0.500 0.500 0.500  0.01
Mn 0.000 0.500 0.000  3.88
Mn 0.000 0.000 0.500  3.65
Mn 0.500 0.000 0.000  4.16
Ca 0.000 0.000 0.000  -0.14

***

Entry 9:
Entry from Alexandria: a relaxed CaMn2Tl crystal (GGA-PBE).

Calculated values
- formation energy (meV/atom) = 214
- space group = R3m (160)

Cell lengths 4.387, 4.387, 6.046 Å; angles 68.74, 68.74, 60.01 degrees
Site moments in Bohr magnetons follow the coordinates.
Positions (direct):
Tl 0.466 0.466 0.602  0.03
Mn 0.054 0.054 0.840  3.35
Mn 0.721 0.721 0.836  -3.25
Ca 0.259 0.259 0.222  0.03

***

Entry 10:
Entry from Alexandria: a relaxed CaTm3Mn crystal (GGA-PBE).

Calculated values
- formation energy (meV/atom) = 160
- space group = Pm-3m (221)

Cell lengths 5.271, 5.271, 5.271 Å; angles 90.00, 90.00, 90.00 degrees
Site moments in Bohr magnetons follow the coordinates.
Positions (direct):
Ca 0.500 0.500 0.500  -0.02
Tm 0.000 0.500 0.000  -0.10
Tm 0.000 0.000 0.500  -0.10
Tm 0.500 0.000 0.000  -0.10
Mn 0.000 0.000 0.000  1.24

***

Entry 11:
Entry from Alexandria: a relaxed CaTm2Mn crystal (GGA-PBE).

Calculated values
- formation energy (meV/atom) = 117
- space group = P4/mmm (123)

Cell lengths 3.468, 3.468, 9.278 Å; angles 90.00, 90.00, 90.00 degrees
Site moments in Bohr magnetons follow the coordinates.
Positions (direct):
Ca 0.500 0.500 0.500  0.02
Tm 0.000 0.000 0.820  -0.27
Tm 0.000 0.000 0.180  -0.27
Mn 0.500 0.500 0.000  3.00

***

Entry 12:
Entry from Alexandria: a relaxed Ca3MnV crystal (GGA-PBE).

Calculated values
- formation energy (meV/atom) = 971
- space group = Pm-3m (221)

Cell lengths 5.436, 5.436, 5.436 Å; angles 90.00, 90.00, 90.00 degrees
Site moments in Bohr magnetons follow the coordinates.
Positions (direct):
Ca 0.000 0.500 0.000  -0.03
Ca 0.000 0.000 0.500  -0.03
Ca 0.500 0.000 0.000  -0.03
Mn 0.000 0.000 0.000  2.84
V 0.500 0.500 0.500  3.00

***

Entry 13:
Entry from Alexandria: a relaxed CaMn2V crystal (GGA-PBE).

Calculated values
- formation energy (meV/atom) = 858
- space group = I4_1/amd (141)

Cell lengths 4.670, 4.670, 8.633 Å; angles 74.31, 74.31, 90.00 degrees
Site moments in Bohr magnetons follow the coordinates.
Positions (direct):
Ca 0.500 0.500 0.000  -0.02
Ca 0.250 0.750 0.500  -0.02
Mn 0.875 0.125 0.250  2.15
Mn 0.875 0.625 0.250  2.15
Mn 0.375 0.125 0.750  2.15
Mn 0.875 0.125 0.750  2.15
V 0.000 0.000 0.000  -1.65
V 0.750 0.250 0.500  -1.65

***

Entry 14:
Entry from Alexandria: a relaxed CaMn2V crystal (GGA-PBE).

Calculated values
- formation energy (meV/atom) = 484
- space group = Fm-3m (225)

Cell lengths 4.637, 4.637, 4.637 Å; angles 60.00, 60.00, 60.00 degrees
Site moments in Bohr magnetons follow the coordinates.
Positions (direct):
Ca 0.000 0.000 0.000  -0.03
Mn 0.250 0.250 0.250  3.25
Mn 0.750 0.750 0.750  3.25
V 0.500 0.500 0.500  -2.40

***

Entry 15:
Entry from Alexandria: a relaxed Ca2MnV2 crystal (GGA-PBE).

Calculated values
- formation energy (meV/atom) = 568
- space group = P4/mbm (127)

Cell lengths 6.342, 6.342, 5.320 Å; angles 90.00, 90.00, 90.00 degrees
Site moments in Bohr magnetons follow the coordinates.
Positions (direct):
Ca 0.185 0.685 0.500  0.02
Ca 0.685 0.815 0.500  0.02
Ca 0.815 0.315 0.500  0.02
Ca 0.315 0.185 0.500  0.02
Mn 0.000 0.000 0.000  -2.20
Mn 0.500 0.500 0.000  -2.20
V 0.351 0.851 0.000  1.90
V 0.851 0.649 0.000  1.90
V 0.649 0.149 0.000  1.90
V 0.149 0.351 0.000  1.90